No. 1
This record from Alexandria describes a relaxed structure of ZrCoSnAu. The functional is PBE-GGA.

```
ZrCoSnAu
1.0
4.6635 0.0000 0.0000
2.3318 4.0388 0.0000
2.3318 1.3463 3.8078
Au Sn Co Zr
1 1 1 1
Cartesian
4.6635 2.6925 1.9039 Au
2.3318 1.3463 0.9519 Sn
0.0000 0.0000 0.0000 Co
6.9953 4.0388 2.8558 Zr
```

Results
ΔH_f (0 K), eV per atom: -0.212
Calculated density, g/cm3: 10.8

=====

No. 2
This record from Alexandria describes a relaxed structure of LaMgC3. The functional is PBE-GGA.

```
LaMgC3
1.0
4.1610 0.0000 0.0000
0.0000 4.1610 0.0000
0.0000 0.0000 4.1610
C Mg La
3 1 1
Cartesian
0.0000 2.0805 0.0000 C
2.0805 0.0000 0.0000 C
0.0000 0.0000 2.0805 C
0.0000 0.0000 0.0000 Mg
2.0805 2.0805 2.0805 La
```

Results
ΔH_f (0 K), eV per atom: 1.610
Calculated density, g/cm3: 4.6

=====

No. 3
This record from Alexandria describes a relaxed structure of Ca5In. The functional is PBE-GGA.

```
Ca5In
1.0
7.1518 0.0709 -0.0095
5.9680 3.9415 -0.0095
2.6026 0.7959 8.0195
Ca In
5 1
Cartesian
3.1819 0.9731 7.7571 Ca
10.6981 3.2718 4.8981 Ca
5.0889 1.5563 2.0469 Ca
6.8014 2.0800 6.4866 Ca
1.4870 0.4548 3.2973 Ca
9.4015 2.8752 0.8643 In
```

Results
ΔH_f (0 K), eV per atom: -0.152
Calculated density, g/cm3: 2.3

=====

No. 4
This record from Alexandria describes a relaxed structure of PuSnSb. The functional is PBE-GGA.

```
PuSnSb
1.0
3.2207 0.0000 0.0000
0.0000 5.3717 0.0000
0.0000 -2.6858 4.6520
Sb Sn Pu
1 1 1
Cartesian
2.6861 0.0000 0.0000 Sb
2.6818 2.6858 1.5507 Sn
1.0735 0.0000 3.1013 Pu
```

Results
Calculated density, g/cm3: 10.0
Energy relative to the elements, uncorrected, eV per atom: -0.2203